Record 1
DFT (GGA-PBE) results for YRu2 after structural relaxation.

## Properties
Energy of formation   0.236 eV per atom

a b c (Å): 3.5972 3.5972 4.7868
angles (deg): 90.00 90.00 90.00
Fractional coordinates of all 3 atoms:
Y 0.0000 0.0000 0.0000
Ru 0.0000 0.5000 0.5000
Ru 0.5000 0.0000 0.5000

Record 2
DFT (GGA-PBE) results for Y3Ru4 after structural relaxation.

## Properties
ΔE to the lowest computed polymorph   342 kJ/mol of formula units
Energy of formation   0.593 eV per atom

a b c (Å): 6.1097 6.1097 4.5694
angles (deg): 90.00 90.00 120.00
Fractional coordinates of all 7 atoms:
Y 0.0000 0.5000 0.0000
Y 0.5000 0.0000 0.0000
Y 0.5000 0.5000 0.0000
Ru 0.0000 0.0000 0.2492
Ru 0.0000 0.0000 0.7508
Ru 0.3333 0.6667 0.5000
Ru 0.6667 0.3333 0.5000

Record 3
DFT (GGA-PBE) results for YRu2 after structural relaxation.

## Properties
Energy of formation   0.010 eV per atom

a b c (Å): 9.9448 5.1921 4.4928
angles (deg): 90.00 90.00 90.00
Fractional coordinates of all 12 atoms:
Y 0.0000 0.2442 0.2500
Y 0.0000 0.7558 0.7500
Y 0.5000 0.2558 0.7500
Y 0.5000 0.7442 0.2500
Ru 0.2173 0.3520 0.7500
Ru 0.2173 0.6480 0.2500
Ru 0.2827 0.1480 0.2500
Ru 0.2827 0.8520 0.7500
Ru 0.7173 0.1480 0.2500
Ru 0.7173 0.8520 0.7500
Ru 0.7827 0.3520 0.7500
Ru 0.7827 0.6480 0.2500

Record 4
DFT (GGA-PBE) results for Y3Ru after structural relaxation.

## Properties
Energy of formation   0.187 eV per atom

a b c (Å): 5.8420 5.8420 5.8420
angles (deg): 90.00 90.00 90.00
Fractional coordinates of all 8 atoms:
Y 0.0000 0.2500 0.5000
Y 0.0000 0.7500 0.5000
Y 0.2500 0.5000 0.0000
Y 0.5000 0.0000 0.2500
Y 0.5000 0.0000 0.7500
Y 0.7500 0.5000 0.0000
Ru 0.0000 0.0000 0.0000
Ru 0.5000 0.5000 0.5000

Record 5
DFT (GGA-PBE) results for YRu2 after structural relaxation.

## Properties
Energy of formation   -0.313 eV per atom

a b c (Å): 5.2632 5.2632 8.9907
angles (deg): 90.00 90.00 120.00
Fractional coordinates of all 12 atoms:
Y 0.3333 0.6667 0.0669
Y 0.3333 0.6667 0.4331
Y 0.6667 0.3333 0.5669
Y 0.6667 0.3333 0.9331
Ru 0.0000 0.0000 0.0000
Ru 0.0000 0.0000 0.5000
Ru 0.1704 0.3408 0.7500
Ru 0.1704 0.8296 0.7500
Ru 0.3408 0.1704 0.2500
Ru 0.6592 0.8296 0.7500
Ru 0.8296 0.1704 0.2500
Ru 0.8296 0.6592 0.2500

Record 6
DFT (GGA-PBE) results for Y3Ru after structural relaxation.

## Properties
Energy of formation   0.231 eV per atom

a b c (Å): 10.0413 10.0413 3.3887
angles (deg): 90.00 90.00 120.00
Fractional coordinates of all 12 atoms:
Y 0.0000 0.5000 0.0000
Y 0.1667 0.3333 0.3333
Y 0.1667 0.8333 0.3333
Y 0.3333 0.1667 0.6667
Y 0.5000 0.0000 0.0000
Y 0.5000 0.5000 0.0000
Y 0.6667 0.8333 0.3333
Y 0.8333 0.1667 0.6667
Y 0.8333 0.6667 0.6667
Ru 0.0000 0.0000 0.0000
Ru 0.3333 0.6667 0.6667
Ru 0.6667 0.3333 0.3333

Record 7
DFT (GGA-PBE) results for Y3Ru4 after structural relaxation.

## Properties
ΔE to the lowest computed polymorph   0 kJ/mol of formula units
Energy of formation   0.087 eV per atom

a b c (Å): 3.1164 3.1164 29.0371
angles (deg): 90.00 90.00 90.00
Fractional coordinates of all 14 atoms:
Y 0.0000 0.0000 0.0000
Y 0.0000 0.0000 0.3062
Y 0.0000 0.0000 0.6938
Y 0.5000 0.5000 0.1938
Y 0.5000 0.5000 0.5000
Y 0.5000 0.5000 0.8062
Ru 0.0000 0.0000 0.1238
Ru 0.0000 0.0000 0.4244
Ru 0.0000 0.0000 0.5756
Ru 0.0000 0.0000 0.8762
Ru 0.5000 0.5000 0.0756
Ru 0.5000 0.5000 0.3762
Ru 0.5000 0.5000 0.6238
Ru 0.5000 0.5000 0.9244

Record 8
DFT (GGA-PBE) results for Y5Ru after structural relaxation.

## Properties
ΔE to the lowest computed polymorph   462 kJ/mol of formula units
Energy of formation   0.672 eV per atom

a b c (Å): 6.2408 6.2408 6.2408
angles (deg): 60.00 60.00 60.00
Fractional coordinates of all 6 atoms:
Y 0.0000 0.0000 0.0000
Y 0.1275 0.6242 0.6242
Y 0.6242 0.1275 0.6242
Y 0.6242 0.6242 0.1275
Y 0.6242 0.6242 0.6242
Ru 0.2500 0.2500 0.2500

Record 9
DFT (GGA-PBE) results for Y3Ru after structural relaxation.

## Properties
Energy of formation   -0.218 eV per atom

a b c (Å): 11.6384 11.6384 6.2484
angles (deg): 90.00 90.00 90.00
Fractional coordinates of all 32 atoms:
Y 0.0321 0.9091 0.2000
Y 0.0909 0.5321 0.7000
Y 0.1183 0.8346 0.6927
Y 0.1186 0.3067 0.0237
Y 0.1654 0.6183 0.1927
Y 0.1933 0.1186 0.4763
Y 0.3067 0.3814 0.4763
Y 0.3346 0.8817 0.1927
Y 0.3814 0.1933 0.0237
Y 0.3817 0.6654 0.6927
Y 0.4091 0.9679 0.7000
Y 0.4679 0.5909 0.2000
Y 0.5321 0.4091 0.8000
Y 0.5909 0.0321 0.3000
Y 0.6183 0.3346 0.3073
Y 0.6186 0.8067 0.9763
Y 0.6654 0.1183 0.8073
Y 0.6933 0.6186 0.5237
Y 0.8067 0.8814 0.5237
Y 0.8346 0.3817 0.8073
Y 0.8814 0.6933 0.9763
Y 0.8817 0.1654 0.3073
Y 0.9091 0.4679 0.3000
Y 0.9679 0.0909 0.8000
Ru 0.0475 0.3106 0.5218
Ru 0.1894 0.0475 0.9782
Ru 0.3106 0.4525 0.9782
Ru 0.4525 0.1894 0.5218
Ru 0.5475 0.8106 0.4782
Ru 0.6894 0.5475 0.0218
Ru 0.8106 0.9525 0.0218
Ru 0.9525 0.6894 0.4782

Record 10
DFT (GGA-PBE) results for Y5Ru after structural relaxation.

## Properties
ΔE to the lowest computed polymorph   6 kJ/mol of formula units
Energy of formation   -0.116 eV per atom

a b c (Å): 3.4876 3.4876 14.0292
angles (deg): 90.00 90.00 90.00
Fractional coordinates of all 6 atoms:
Y 0.0000 0.0000 0.0000
Y 0.0000 0.0000 0.3834
Y 0.0000 0.0000 0.6166
Y 0.5000 0.5000 0.1819
Y 0.5000 0.5000 0.8181
Ru 0.5000 0.5000 0.5000

Record 11
DFT (GGA-PBE) results for Y3Ru after structural relaxation.

## Properties
Energy of formation   -0.181 eV per atom

a b c (Å): 3.4482 3.4482 8.9652
angles (deg): 90.00 90.00 90.00
Fractional coordinates of all 4 atoms:
Y 0.0000 0.0000 0.0000
Y 0.5000 0.5000 0.3159
Y 0.5000 0.5000 0.6841
Ru 0.0000 0.0000 0.5000

Record 12
DFT (GGA-PBE) results for Y3Ru after structural relaxation.

## Properties
Energy of formation   0.017 eV per atom

a b c (Å): 3.6173 3.6173 29.5765
angles (deg): 90.00 90.00 120.00
Fractional coordinates of all 12 atoms:
Y 0.0000 0.0000 0.0000
Y 0.0000 0.0000 0.2290
Y 0.0000 0.0000 0.7710
Y 0.3333 0.6667 0.4377
Y 0.3333 0.6667 0.6667
Y 0.3333 0.6667 0.8956
Y 0.6667 0.3333 0.1044
Y 0.6667 0.3333 0.3333
Y 0.6667 0.3333 0.5623
Ru 0.0000 0.0000 0.5000
Ru 0.3333 0.6667 0.1667
Ru 0.6667 0.3333 0.8333